Ac2NpFeO6 | PBE+U | optimized geometry

Structure (extended XYZ):
```
10
Lattice="-0.654 -3.741 -4.728 4.372 -3.463 2.135 -4.697 1.412 3.555" Properties=species:S:1:pos:R:3 pbc="T T T"
O 2.422 -5.678 -1.646
O 0.665 -3.257 1.708
O -3.401 -0.114 2.609
Fe -0.327 -1.871 -2.364
Ac -1.424 -1.033 1.240
O -1.644 -2.535 -0.746
O -1.218 -1.843 3.675
Np 2.186 -1.732 1.068
Ac 0.445 -4.759 -0.278
O 0.239 -3.949 -2.712
```

* symmetry: No. 12
* mass density: 9121 kg/m³
* raw total energy: -8.460 eV/atom